Computed, not measured: an optimized crystal structure of KIn8Sn4 at the GGA-PBE level of DFT.

## Properties
- Density of states at the Fermi level: 0.456 states/eV/atom
- ΔH_f (0 K): 0.18 eV per atom
- Symmetry: No. 166

Geometry as POSCAR:
```
KIn8Sn4
1.0
4.6154 2.6647 7.6331
-4.6154 2.6647 7.6331
0.0000 -5.3295 7.6331
K In Sn
1 8 4
Direct
0.0000 0.0000 0.0000 K
0.2720 0.2720 0.2720 In
0.2766 0.2766 0.6803 In
0.2766 0.6803 0.2766 In
0.3197 0.7234 0.7234 In
0.6803 0.2766 0.2766 In
0.7234 0.3197 0.7234 In
0.7234 0.7234 0.3197 In
0.7280 0.7280 0.7280 In
0.0000 0.5000 0.5000 Sn
0.5000 0.0000 0.5000 Sn
0.5000 0.5000 0.0000 Sn
0.5000 0.5000 0.5000 Sn
```



Computed, not measured: an optimized crystal structure of KInSn at the GGA-PBE level of DFT.

## Properties
- Density of states at the Fermi level: 0.505 states/eV/atom
- ΔH_f (0 K): -0.04 eV per atom
- Symmetry: No. 51

Geometry as POSCAR:
```
KInSn
1.0
9.2051 0.0000 0.0000
0.0000 6.2670 0.0000
0.0000 0.0000 4.0131
K In Sn
2 2 2
Direct
0.2500 0.0000 0.0009 K
0.7500 0.0000 0.9991 K
0.0000 0.5000 0.0000 In
0.5000 0.5000 0.0000 In
0.2500 0.5000 0.5004 Sn
0.7500 0.5000 0.4996 Sn
```



Computed, not measured: an optimized crystal structure of K2In7Sn at the GGA-PBE level of DFT.

## Properties
- Density of states at the Fermi level: 0.273 states/eV/atom
- ΔH_f (0 K): -0.14 eV per atom
- Symmetry: No. 115

Geometry as POSCAR:
```
K2In7Sn
1.0
4.9552 0.0000 0.0000
0.0000 4.9552 0.0000
0.0000 0.0000 12.8219
K In Sn
2 7 1
Direct
0.0000 0.5000 0.2495 K
0.5000 0.0000 0.7505 K
0.0000 0.0000 0.0000 In
0.0000 0.0000 0.5000 In
0.0000 0.5000 0.6368 In
0.0000 0.5000 0.8618 In
0.5000 0.0000 0.1382 In
0.5000 0.0000 0.3632 In
0.5000 0.5000 0.5000 In
0.5000 0.5000 0.0000 Sn
```



Computed, not measured: an optimized crystal structure of KInSn at the GGA-PBE level of DFT.

## Properties
- Density of states at the Fermi level: 0.113 states/eV/atom
- ΔH_f (0 K): -0.23 eV per atom
- Symmetry: No. 44

Geometry as POSCAR:
```
KInSn
1.0
-2.6163 4.3700 4.2617
2.6163 -4.3700 4.2617
2.6163 4.3700 -4.2617
K In Sn
2 2 2
Direct
0.0000 0.0000 0.0000 K
0.6398 0.1398 0.5000 K
0.2431 0.4130 0.8300 In
0.5830 0.4130 0.1700 In
0.0545 0.7279 0.3266 Sn
0.4014 0.7279 0.6734 Sn
```



Computed, not measured: an optimized crystal structure of KIn2Sn4 at the GGA-PBE level of DFT.

## Properties
- Density of states at the Fermi level: 0.482 states/eV/atom
- ΔH_f (0 K): -0.04 eV per atom
- Symmetry: No. 65

Geometry as POSCAR:
```
KIn2Sn4
1.0
2.6559 -8.1123 0.0000
2.6559 8.1123 0.0000
0.0000 0.0000 5.1761
K In Sn
1 2 4
Direct
0.0000 0.0000 0.0000 K
0.4090 0.5910 0.5000 In
0.5910 0.4090 0.5000 In
0.1864 0.8136 0.5000 Sn
0.3014 0.6986 0.0000 Sn
0.6986 0.3014 0.0000 Sn
0.8136 0.1864 0.5000 Sn
```



Computed, not measured: an optimized crystal structure of KIn3Sn2 at the GGA-PBE level of DFT.

## Properties
- Density of states at the Fermi level: 0.391 states/eV/atom
- ΔH_f (0 K): -0.04 eV per atom
- Relative energy among the computed polymorphs: 26 kJ/mol of formula units
- Symmetry: No. 63

Geometry as POSCAR:
```
KIn3Sn2
1.0
5.6850 -4.7194 0.0000
5.6850 4.7194 0.0000
0.0000 0.0000 7.1784
K In Sn
2 6 4
Direct
0.1423 0.8577 0.7500 K
0.8577 0.1423 0.2500 K
0.0729 0.6267 0.2500 In
0.3733 0.9271 0.2500 In
0.4937 0.5063 0.2500 In
0.5063 0.4937 0.7500 In
0.6267 0.0729 0.7500 In
0.9271 0.3733 0.7500 In
0.2739 0.2739 0.0000 Sn
0.2739 0.2739 0.5000 Sn
0.7261 0.7261 0.0000 Sn
0.7261 0.7261 0.5000 Sn
```



Computed, not measured: an optimized crystal structure of KIn5Sn2 at the GGA-PBE level of DFT.

## Properties
- Density of states at the Fermi level: 0.478 states/eV/atom
- ΔH_f (0 K): -0.02 eV per atom
- Symmetry: No. 71

Geometry as POSCAR:
```
KIn5Sn2
1.0
-2.3631 4.8137 5.5393
2.3631 -4.8137 5.5393
2.3631 4.8137 -5.5393
K In Sn
1 5 2
Direct
0.0000 0.0000 0.0000 K
0.1656 0.3548 0.8108 In
0.4561 0.6452 0.8108 In
0.5000 0.0000 0.5000 In
0.5439 0.3548 0.1892 In
0.8344 0.6452 0.1892 In
0.2395 0.7395 0.5000 Sn
0.7605 0.2605 0.5000 Sn
```



Computed, not measured: an optimized crystal structure of KInSn at the GGA-PBE level of DFT.

## Properties
- Density of states at the Fermi level: 0.536 states/eV/atom
- ΔH_f (0 K): -0.11 eV per atom
- Symmetry: No. 6

Geometry as POSCAR:
```
KInSn
1.0
5.8448 0.0000 0.0000
0.0000 4.3018 0.0000
-2.8691 0.0000 8.2428
K In Sn
2 2 2
Direct
0.0000 0.0000 0.0000 K
0.3667 0.0000 0.7262 K
0.2448 0.5000 0.3612 In
0.5552 0.5000 0.1372 In
0.7781 0.5000 0.5830 Sn
0.8540 0.0000 0.3673 Sn
```



Computed, not measured: an optimized crystal structure of K2In10Sn at the GGA-PBE level of DFT.

## Properties
- Density of states at the Fermi level: 0.490 states/eV/atom
- ΔH_f (0 K): 0.04 eV per atom
- Symmetry: No. 55

Geometry as POSCAR:
```
K2In10Sn
1.0
11.2541 0.0000 0.0000
0.0000 12.5647 0.0000
0.0000 0.0000 6.5890
K In Sn
4 20 2
Direct
0.1147 0.1180 0.0000 K
0.3853 0.6180 0.0000 K
0.6147 0.3820 0.0000 K
0.8853 0.8820 0.0000 K
0.0331 0.2415 0.5000 In
0.1221 0.9582 0.5000 In
0.1857 0.3857 0.2248 In
0.1857 0.3857 0.7752 In
0.2136 0.6623 0.5000 In
0.2864 0.1623 0.5000 In
0.3143 0.8857 0.2248 In
0.3143 0.8857 0.7752 In
0.3779 0.4582 0.5000 In
0.4669 0.7415 0.5000 In
0.5331 0.2585 0.5000 In
0.6221 0.5418 0.5000 In
0.6857 0.1143 0.2248 In
0.6857 0.1143 0.7752 In
0.7136 0.8377 0.5000 In
0.7864 0.3377 0.5000 In
0.8143 0.6143 0.2248 In
0.8143 0.6143 0.7752 In
0.8779 0.0418 0.5000 In
0.9669 0.7585 0.5000 In
0.0000 0.5000 0.5000 Sn
0.5000 0.0000 0.5000 Sn
```



Computed, not measured: an optimized crystal structure of KInSn at the GGA-PBE level of DFT.

## Properties
- Density of states at the Fermi level: 0.422 states/eV/atom
- ΔH_f (0 K): 0.02 eV per atom
- Symmetry: No. 39

Geometry as POSCAR:
```
KInSn
1.0
8.4080 0.0000 0.0000
0.0000 3.0864 3.9433
0.0000 -3.0864 3.9433
K In Sn
2 2 2
Direct
0.0000 0.0000 0.0000 K
0.0000 0.5000 0.5000 K
0.3707 0.6022 0.1022 In
0.6293 0.1022 0.6022 In
0.3077 0.9791 0.4791 Sn
0.6923 0.4791 0.9791 Sn
```



Computed, not measured: an optimized crystal structure of KIn3Sn at the GGA-PBE level of DFT.

## Properties
- Density of states at the Fermi level: 0.402 states/eV/atom
- ΔH_f (0 K): -0.08 eV per atom
- Relative energy among the computed polymorphs: 34 kJ/mol of formula units
- Symmetry: No. 99

Geometry as POSCAR:
```
KIn3Sn
1.0
4.8705 0.0000 0.0000
0.0000 4.8705 0.0000
0.0000 0.0000 6.9030
K In Sn
1 3 1
Direct
0.0000 0.0000 0.0000 K
0.0000 0.5000 0.4968 In
0.5000 0.0000 0.4968 In
0.5000 0.5000 0.7782 In
0.5000 0.5000 0.2231 Sn
```



Computed, not measured: an optimized crystal structure of K2In2Sn at the GGA-PBE level of DFT.

## Properties
- Density of states at the Fermi level: 0.603 states/eV/atom
- ΔH_f (0 K): 0.18 eV per atom
- Relative energy among the computed polymorphs: 135 kJ/mol of formula units
- Symmetry: No. 139

Geometry as POSCAR:
```
K2In2Sn
1.0
-2.3372 2.3372 8.0302
2.3372 -2.3372 8.0302
2.3372 2.3372 -8.0302
K In Sn
2 2 1
Direct
0.2500 0.7500 0.5000 K
0.7500 0.2500 0.5000 K
0.0874 0.0874 0.0000 In
0.9126 0.9126 0.0000 In
0.5000 0.5000 0.0000 Sn
```



Computed, not measured: an optimized crystal structure of KInSn at the GGA-PBE level of DFT.

## Properties
- Density of states at the Fermi level: 0.149 states/eV/atom
- ΔH_f (0 K): -0.24 eV per atom
- Symmetry: No. 12

Geometry as POSCAR:
```
KInSn
1.0
6.1026 -2.6119 0.0000
6.1026 2.6119 0.0000
-5.9344 0.0000 6.1036
K In Sn
2 2 2
Direct
0.2488 0.2488 0.1777 K
0.7512 0.7512 0.8223 K
0.0795 0.0795 0.4223 In
0.9205 0.9205 0.5777 In
0.4249 0.4249 0.7671 Sn
0.5751 0.5751 0.2329 Sn
```



Computed, not measured: an optimized crystal structure of KInSn at the GGA-PBE level of DFT.

## Properties
- Density of states at the Fermi level: 0.540 states/eV/atom
- ΔH_f (0 K): -0.11 eV per atom
- Symmetry: No. 63

Geometry as POSCAR:
```
KInSn
1.0
2.1688 -6.9184 0.0000
2.1688 6.9184 0.0000
0.0000 0.0000 6.9603
K In Sn
2 2 2
Direct
0.1941 0.8059 0.7500 K
0.8059 0.1941 0.2500 K
0.5000 0.5000 0.0000 In
0.5000 0.5000 0.5000 In
0.0906 0.9094 0.2500 Sn
0.9094 0.0906 0.7500 Sn
```



Computed, not measured: an optimized crystal structure of K2In6Sn3 at the GGA-PBE level of DFT.

## Properties
- Density of states at the Fermi level: 0.469 states/eV/atom
- ΔH_f (0 K): -0.07 eV per atom
- Symmetry: No. 189

Geometry as POSCAR:
```
K2In6Sn3
1.0
9.1162 0.0000 0.0000
-4.5581 7.8949 0.0000
0.0000 0.0000 5.0455
K In Sn
2 6 3
Direct
0.3333 0.6667 0.0000 K
0.6667 0.3333 0.0000 K
0.0000 0.2867 0.5000 In
0.0000 0.8071 0.0000 In
0.1929 0.1929 0.0000 In
0.2867 0.0000 0.5000 In
0.7133 0.7133 0.5000 In
0.8071 0.0000 0.0000 In
0.0000 0.6283 0.5000 Sn
0.3717 0.3717 0.5000 Sn
0.6283 0.0000 0.5000 Sn
```



Computed, not measured: an optimized crystal structure of KInSn at the GGA-PBE level of DFT.

## Properties
- Density of states at the Fermi level: 0.371 states/eV/atom
- ΔH_f (0 K): -0.10 eV per atom
- Symmetry: No. 62

Geometry as POSCAR:
```
KInSn
1.0
7.4019 0.0000 0.0000
0.0000 4.9268 0.0000
0.0000 0.0000 10.8337
K In Sn
4 4 4
Direct
0.1193 0.2500 0.0889 K
0.3807 0.7500 0.5889 K
0.6193 0.2500 0.4111 K
0.8807 0.7500 0.9111 K
0.0683 0.2500 0.7165 In
0.4317 0.7500 0.2165 In
0.5683 0.2500 0.7835 In
0.9317 0.7500 0.2835 In
0.1078 0.2500 0.4321 Sn
0.3922 0.7500 0.9321 Sn
0.6078 0.2500 0.0679 Sn
0.8922 0.7500 0.5679 Sn
```



Computed, not measured: an optimized crystal structure of KInSn at the GGA-PBE level of DFT.

## Properties
- Density of states at the Fermi level: 0.302 states/eV/atom
- ΔH_f (0 K): -0.19 eV per atom
- Symmetry: No. 2

Geometry as POSCAR:
```
KInSn
1.0
4.8485 0.0000 0.0000
-1.7695 6.5037 0.0000
-2.1644 -1.8381 6.6622
K In Sn
2 2 2
Direct
0.2504 0.2080 0.3554 K
0.7496 0.7920 0.6446 K
0.4865 0.7964 0.0607 In
0.5135 0.2036 0.9393 In
0.0150 0.3789 0.7948 Sn
0.9850 0.6211 0.2052 Sn
```



Computed, not measured: an optimized crystal structure of KIn4Sn2 at the GGA-PBE level of DFT.

## Properties
- Density of states at the Fermi level: 0.450 states/eV/atom
- ΔH_f (0 K): -0.08 eV per atom
- Symmetry: No. 65

Geometry as POSCAR:
```
KIn4Sn2
1.0
2.7466 -8.2256 0.0000
2.7466 8.2256 0.0000
0.0000 0.0000 4.8824
K In Sn
1 4 2
Direct
0.0000 0.0000 0.0000 K
0.1795 0.8205 0.5000 In
0.2998 0.7002 0.0000 In
0.7002 0.2998 0.0000 In
0.8205 0.1795 0.5000 In
0.4090 0.5910 0.5000 Sn
0.5910 0.4090 0.5000 Sn
```



Computed, not measured: an optimized crystal structure of KIn2Sn at the GGA-PBE level of DFT.

## Properties
- Density of states at the Fermi level: 0.510 states/eV/atom
- ΔH_f (0 K): -0.09 eV per atom
- Symmetry: No. 129

Geometry as POSCAR:
```
KIn2Sn
1.0
4.9170 0.0000 0.0000
0.0000 4.9170 0.0000
0.0000 0.0000 11.0889
K In Sn
2 4 2
Direct
0.2500 0.2500 0.2475 K
0.7500 0.7500 0.7525 K
0.2500 0.2500 0.9443 In
0.2500 0.7500 0.5000 In
0.7500 0.2500 0.5000 In
0.7500 0.7500 0.0557 In
0.2500 0.2500 0.6634 Sn
0.7500 0.7500 0.3366 Sn
```



Computed, not measured: an optimized crystal structure of K2InSn at the GGA-PBE level of DFT.

## Properties
- Density of states at the Fermi level: 0.721 states/eV/atom
- ΔH_f (0 K): 0.12 eV per atom
- Relative energy among the computed polymorphs: 101 kJ/mol of formula units
- Symmetry: No. 122

Geometry as POSCAR:
```
K2InSn
1.0
-4.9905 4.9905 3.1356
4.9905 -4.9905 3.1356
4.9905 4.9905 -3.1356
K In Sn
4 2 2
Direct
0.1154 0.6250 0.9904 K
0.3750 0.3654 0.4904 K
0.6346 0.1250 0.0096 K
0.8750 0.8846 0.5096 K
0.2500 0.7500 0.5000 In
0.5000 0.5000 0.0000 In
0.0000 0.0000 0.0000 Sn
0.7500 0.2500 0.5000 Sn
```